80
Lattice="4.4283 0.0000 0.0000 0.0000 12.2049 0.0000 0.0000 0.0000 12.4381" Properties=species:S:1:pos:R:3 comment="Sc3B5O12 | the Alexandria database | meta-GGA SCAN | PBEsol geometry" crystal_system=orthorhombic formation_energy_uncorrected_kj_per_mol_fu=-6083 e_tot_ev_per_atom=-10.884 pbc="T T T"
O 3.0987 9.0716 6.2190
O 3.1243 0.7605 9.5369
O 1.3040 11.4443 9.5369
O 3.3711 11.4334 6.2190
O 3.4541 10.3357 3.6869
O 3.1243 5.3419 3.3179
O 3.0987 9.2356 0.0000
O 1.3040 6.8629 3.3179
O 2.9462 11.2442 1.2049
O 1.3040 6.8629 9.1202
O 0.9845 10.4281 0.0000
O 0.9742 4.2332 9.9060
O 2.9843 1.7332 5.0450
O 2.9843 4.3693 1.1740
O 3.0115 3.0512 3.1095
O 1.4821 5.1417 5.0141
O 2.9843 1.7332 7.3931
O 2.9462 11.2442 11.2332
O 1.4821 0.9607 1.2049
O 3.4541 10.3357 8.7512
O 0.9742 1.8692 8.7512
O 1.4821 5.1417 7.4240
O 1.4441 7.8356 11.2640
O 1.4821 0.9607 11.2332
O 1.3296 2.9692 0.0000
O 2.9462 7.0631 7.4240
O 1.3296 3.1332 6.2190
O 0.9742 4.2332 2.5321
O 3.4541 7.9716 9.9060
O 1.0572 5.3310 0.0000
O 2.9843 4.3693 11.2640
O 1.4168 9.1536 9.3286
O 3.1243 5.3419 9.1202
O 1.4441 10.4717 7.3931
O 3.0115 3.0512 9.3286
O 1.4441 7.8356 1.1740
O 3.1243 0.7605 2.9012
O 1.3040 11.4443 2.9012
O 3.4541 7.9716 2.5321
O 0.9742 1.8692 3.6869
O 1.4168 9.1536 3.1095
O 1.4441 10.4717 5.0450
O 1.0572 0.7714 6.2190
O 3.4438 4.3257 6.2190
O 2.9462 7.0631 5.0141
O 3.4438 1.7768 0.0000
O 3.3711 6.8738 0.0000
O 0.9845 7.8792 6.2190
Sc 4.3669 8.4941 7.9094
Sc 4.3669 9.8132 10.7477
Sc 0.0000 0.0000 7.8321
Sc 0.0614 3.7108 7.9094
Sc 0.0614 2.3916 1.6903
Sc 0.0614 3.7108 4.5287
Sc 0.0000 6.1024 1.6131
Sc 0.0000 0.0000 4.6060
Sc 0.0000 6.1024 10.8250
Sc 0.0614 2.3916 10.7477
Sc 4.3669 8.4941 4.5287
Sc 4.3669 9.8132 1.6903
B 2.4064 1.8270 8.7356
B 2.0219 7.9294 2.5166
B 2.0219 10.3779 8.7356
B 2.3524 7.8787 0.0000
B 2.3835 10.5985 0.0000
B 2.3835 7.7088 6.2190
B 2.2142 0.0000 10.4167
B 2.2142 6.1024 4.1977
B 2.0449 4.4961 6.2190
B 2.0219 10.3779 3.7024
B 2.2142 6.1024 8.2404
B 2.0759 4.3261 0.0000
B 2.2142 0.0000 2.0214
B 2.0219 7.9294 9.9215
B 2.0759 1.7763 6.2190
B 2.4064 1.8270 3.7024
B 2.0449 1.6063 0.0000
B 2.4064 4.2754 2.5166
B 2.4064 4.2754 9.9215
B 2.3524 10.4286 6.2190


8
Lattice="-1.9750 -3.9938 -2.3749 4.6462 -1.7306 -0.9534 -1.3948 0.3347 5.9638" Properties=species:S:1:pos:R:3 comment="Sc2BO | the Alexandria database | meta-GGA SCAN | PBEsol geometry" relative_energy_mev_per_atom=0.0 crystal_system=tetragonal formation_energy_uncorrected_kj_per_mol_fu=-540 e_tot_ev_per_atom=-11.934 pbc="T T T"
B -1.0171 -3.2607 0.9624
B 1.3356 -2.8622 -1.6642
Sc 3.0470 -2.7849 -0.1486
Sc -0.4054 -4.2033 -1.0299
Sc -0.8790 -0.4024 4.0911
Sc 0.7903 -3.3889 2.3584
O 0.0000 0.0000 0.0000
O 2.2935 -2.1291 1.6731


4
Lattice="3.1489 0.0000 0.0000 1.5744 2.7270 0.0000 1.5744 0.9090 7.1089" Properties=species:S:1:pos:R:3 comment="Sc2BO | the Alexandria database | meta-GGA SCAN | PBEsol geometry" relative_energy_mev_per_atom=679.7 crystal_system=trigonal formation_energy_uncorrected_kj_per_mol_fu=-278 e_tot_ev_per_atom=-11.254 pbc="T T T"
Sc 4.7233 2.7270 2.3350
Sc 1.5744 0.9090 4.7739
O 3.1489 1.8180 3.5545
B 0.0000 0.0000 0.0000


Number 1 is which compound? Sc3B5O12